No. 1
! ZrTi4Pb5O15 (GGA-PBEsol, optimized geometry); values from VASP
&SYSTEM
  ibrav = 0, nat = 25, ntyp = 4
/
ATOMIC_SPECIES
Zr 91.22 Zr.upf
Ti 47.87 Ti.upf
Pb 207.20 Pb.upf
O 16.00 O.upf
ATOMIC_POSITIONS crystal
Zr 0.5466 0.5000 0.0000
Ti 0.5360 0.8974 0.7948
Ti 0.5360 0.1026 0.2052
Ti 0.5378 0.7010 0.4020
Ti 0.5378 0.2990 0.5980
Pb 0.9937 0.3970 0.7940
Pb 0.9898 0.0000 0.0000
Pb 0.9937 0.6030 0.2060
Pb 0.9959 0.2004 0.4007
Pb 0.9959 0.7996 0.5993
O 0.6258 0.1003 0.6969
O 0.6258 0.8997 0.3031
O 0.6231 0.5000 0.5000
O 0.6227 0.7070 0.8942
O 0.6227 0.2930 0.1058
O 0.6231 0.0000 0.5000
O 0.6227 0.8129 0.1058
O 0.6258 0.4034 0.3031
O 0.6258 0.5966 0.6969
O 0.6227 0.1871 0.8942
O 0.1205 0.2996 0.5993
O 0.1191 0.1033 0.2067
O 0.1205 0.7004 0.4007
O 0.1191 0.8967 0.7933
O 0.0792 0.5000 0.0000
CELL_PARAMETERS angstrom
4.2452 0.0000 0.0000
0.0000 5.5369 0.0000
0.0000 -2.7684 13.8483
! Raw formation energy   -2.362 eV/atom

***

No. 2
! TcPb2Se (GGA-PBEsol, optimized geometry); values from VASP
&SYSTEM
  ibrav = 0, nat = 4, ntyp = 3
/
ATOMIC_SPECIES
Pb 207.20 Pb.upf
Se 78.96 Se.upf
Tc 98.00 Tc.upf
ATOMIC_POSITIONS crystal
Pb 0.0000 0.0000 0.0000
Pb 0.7500 0.2500 0.5000
Se 0.5000 0.5000 0.0000
Tc 0.2500 0.7500 0.5000
CELL_PARAMETERS angstrom
4.2021 0.0000 0.0000
0.0000 4.2021 0.0000
-2.1011 -2.1011 5.2136
! Raw formation energy   0.676 eV/atom
! ΔE to the lowest computed polymorph   0.194 eV/atom

***

No. 3
! ReRhBr2 (GGA-PBEsol, optimized geometry); values from VASP
&SYSTEM
  ibrav = 0, nat = 4, ntyp = 3
/
ATOMIC_SPECIES
Re 186.21 Re.upf
Rh 102.91 Rh.upf
Br 79.90 Br.upf
ATOMIC_POSITIONS crystal
Re 0.0000 0.0000 0.0000
Rh 0.0000 0.5000 0.5000
Br 0.0000 0.5000 0.0000
Br 0.0000 0.0000 0.5000
CELL_PARAMETERS angstrom
-0.9820 -0.7360 -2.7104
0.6838 -4.6114 2.3462
-3.9849 2.6661 2.0616
! Raw formation energy   1.067 eV/atom
! ΔE to the lowest computed polymorph   0.421 eV/atom

***

No. 4
! Cu2TcNi (GGA-PBEsol, optimized geometry); values from VASP
&SYSTEM
  ibrav = 0, nat = 4, ntyp = 3
/
ATOMIC_SPECIES
Cu 63.55 Cu.upf
Ni 58.69 Ni.upf
Tc 98.00 Tc.upf
ATOMIC_POSITIONS crystal
Cu 0.0029 0.0029 0.9913
Cu 0.7511 0.7511 0.7467
Ni 0.4986 0.4986 0.5043
Tc 0.2474 0.2474 0.2577
CELL_PARAMETERS angstrom
2.5716 0.0000 0.0000
1.2858 2.2271 0.0000
1.2858 0.7424 8.2980
! Formation energy from the elements   109 meV per atom
! ΔE to the lowest computed polymorph   0.058 eV/atom

***

No. 5
! NaSc3I (GGA-PBEsol, optimized geometry); values from VASP
&SYSTEM
  ibrav = 0, nat = 5, ntyp = 3
/
ATOMIC_SPECIES
I 126.90 I.upf
Sc 44.96 Sc.upf
Na 22.99 Na.upf
ATOMIC_POSITIONS crystal
I 0.0000 0.0000 0.0000
Sc 0.0000 0.5000 0.0000
Sc 0.0000 0.0000 0.5000
Sc 0.5000 0.0000 0.0000
Na 0.5000 0.5000 0.5000
CELL_PARAMETERS angstrom
-0.0745 2.4627 4.7315
-5.2438 -0.9001 0.3859
0.9765 -4.6457 2.4334
! Raw formation energy   0.389 eV/atom

***

No. 6
! TaCSe3 (GGA-PBEsol, optimized geometry); values from VASP
&SYSTEM
  ibrav = 0, nat = 5, ntyp = 3
/
ATOMIC_SPECIES
C 12.01 C.upf
Se 78.96 Se.upf
Ta 180.95 Ta.upf
ATOMIC_POSITIONS crystal
C 0.5000 0.5000 0.5000
Se 0.0000 0.5000 0.0000
Se 0.0000 0.0000 0.5000
Se 0.5000 0.0000 0.0000
Ta 0.0000 0.0000 0.0000
CELL_PARAMETERS angstrom
-4.5096 -1.0197 -1.7402
-0.4230 -3.6893 3.2580
-1.9720 3.1232 3.2805
! Raw formation energy   1.306 eV/atom
! ΔE to the lowest computed polymorph   0.322 eV/atom

***

No. 7
! BeB2SbC (GGA-PBEsol, optimized geometry); values from VASP
&SYSTEM
  ibrav = 0, nat = 5, ntyp = 4
/
ATOMIC_SPECIES
Sb 121.76 Sb.upf
C 12.01 C.upf
B 10.81 B.upf
Be 9.01 Be.upf
ATOMIC_POSITIONS crystal
Sb 0.0000 0.0000 0.5000
C 0.0000 0.0000 0.0000
B 0.0000 0.5000 0.0000
B 0.5000 0.0000 0.0000
Be 0.5000 0.5000 0.5000
CELL_PARAMETERS angstrom
-2.0438 1.6067 1.7949
1.3504 -1.1852 2.5985
4.5123 5.5378 0.1808
! Raw formation energy   1.506 eV/atom

***

No. 8
! Y2SiAu (GGA-PBEsol, optimized geometry); values from VASP
&SYSTEM
  ibrav = 0, nat = 4, ntyp = 3
/
ATOMIC_SPECIES
Y 88.91 Y.upf
Si 28.09 Si.upf
Au 196.97 Au.upf
ATOMIC_POSITIONS crystal
Y 0.1103 0.0000 0.2205
Y 0.3913 0.5000 0.7825
Si 0.6709 0.5000 0.3418
Au 0.8285 0.0000 0.6570
CELL_PARAMETERS angstrom
4.0393 0.0000 0.0000
0.0000 4.1717 0.0000
-2.0196 0.0000 5.3533
! Raw formation energy   -0.875 eV/atom